Computed, not measured: an optimized crystal structure of NaCaP2Pd5 at the PBE-GGA level of DFT.

Values from the calculation:
Size of the total moment, μB per formula unit: 0.0
Formation energy, meV per atom: -629

a b c (Å): 4.1824 4.1824 8.6488
angles (deg): 90.00 90.00 90.00
Space group P4/mmm (No. 123)
Asymmetric unit:
Na1 0.0000 0.0000 0.0000 [1 per cell]
Ca1 0.0000 0.0000 0.5000 [1 per cell]
P1 0.5000 0.5000 0.1272 [2 per cell]
Pd1 0.0000 0.5000 0.2560 [4 per cell]
Pd2 0.5000 0.5000 0.5000 [1 per cell]